Record 1
Crystalline CeNd5Ho at its relaxed geometry, computed with PBE.

a b c (Å): 6.8181 10.1446 9.6295
angles (deg): 39.24 61.50 37.89
Last column: magnetic moment on the atom in μB.
Atoms (fractional coordinates):
Nd  0.5000  0.0000  0.0000  0.01
Nd  0.8109  0.3706  0.1314  -0.01
Nd  0.3431  0.2357  0.4981  -0.01
Nd  0.1891  0.6294  0.8686  -0.01
Nd  0.6569  0.7643  0.5019  -0.01
Ho  0.0000  0.0000  0.0000  0.03
Ce  0.5000  0.5000  0.5000  0.59



Record 2
Crystalline CeNd6Ho at its relaxed geometry, computed with PBE.

a b c (Å): 5.1498 5.1498 10.3072
angles (deg): 90.00 90.00 90.00
Last column: magnetic moment on the atom in μB.
Atoms (fractional coordinates):
Nd  0.0000  0.5000  0.7490  0.01
Nd  0.5000  0.5000  0.0000  -0.01
Nd  0.0000  0.5000  0.2510  0.01
Nd  0.5000  0.0000  0.2510  0.01
Nd  0.5000  0.0000  0.7490  0.01
Nd  0.5000  0.5000  0.5000  0.02
Ho  0.0000  0.0000  0.0000  -0.02
Ce  0.0000  0.0000  0.5000  0.78



Record 3
Crystalline CeNd14Ho at its relaxed geometry, computed with PBE.

a b c (Å): 7.3251 7.3251 10.3748
angles (deg): 90.00 90.00 89.98
Last column: magnetic moment on the atom in μB.
Atoms (fractional coordinates):
Nd  0.1241  0.8759  0.2466  0.01
Nd  0.3748  0.6252  0.5000  -0.01
Nd  0.6258  0.8757  0.7531  0.01
Nd  0.6258  0.3742  0.2472  0.01
Nd  0.1243  0.3742  0.7531  0.01
Nd  0.8749  0.1251  0.5000  0.00
Nd  0.6258  0.3742  0.7528  0.01
Nd  0.8752  0.6254  0.5000  0.00
Nd  0.3754  0.1252  0.0000  0.01
Nd  0.8748  0.6246  0.0000  0.01
Nd  0.1241  0.8759  0.7534  0.01
Nd  0.3746  0.1248  0.5000  0.00
Nd  0.6258  0.8757  0.2469  0.01
Nd  0.1243  0.3742  0.2469  0.01
Ho  0.3751  0.6249  0.0000  0.00
Ce  0.8751  0.1249  0.0000  0.80



Record 4
Crystalline CeNd8Ho4 at its relaxed geometry, computed with PBE.

a b c (Å): 7.4068 7.4069 10.1503
angles (deg): 90.00 111.40 120.00
Atoms (fractional coordinates):
Ce  0.0000  0.5000  0.5000
Ho  0.5000  0.0000  0.0000
Ho  0.0000  0.5000  0.0000
Ho  0.5000  0.5000  0.0000
Ho  0.0000  0.0000  0.0000
Nd  0.5581  0.7790  0.3371
Nd  0.5107  0.2554  0.3072
Nd  0.4893  0.7446  0.6928
Nd  0.9482  0.7446  0.6928
Nd  0.9482  0.2036  0.6928
Nd  0.4419  0.2210  0.6629
Nd  0.0518  0.2554  0.3072
Nd  0.0518  0.7964  0.3072



Record 5
Crystalline CeNd2Ho at its relaxed geometry, computed with PBE.

Summary:
The value obtained for the energy above the most stable polymorph in this dataset is 6 kJ/mol of formula units.

a b c (Å): 5.0711 5.0932 5.0932
angles (deg): 90.00 90.00 90.00
Last column: magnetic moment on the atom in μB.
Atoms (fractional coordinates):
Nd  0.0000  0.0000  0.5000  -0.01
Nd  0.0000  0.5000  0.0000  -0.01
Ce  0.5000  0.0000  0.0000  0.63
Ho  0.5000  0.5000  0.5000  0.01



Record 6
Crystalline CeNd2Ho3 at its relaxed geometry, computed with PBE.

Summary:
The value obtained for the energy above the most stable polymorph in this dataset is 0 kJ/mol of formula units.

a b c (Å): 3.4577 9.1808 12.8010
angles (deg): 79.03 82.24 79.15
Last column: magnetic moment on the atom in μB.
Atoms (fractional coordinates):
Nd  0.8237  0.4763  0.8763  0.01
Nd  0.3464  0.8465  0.4606  0.01
Nd  0.1763  0.5237  0.1237  0.01
Nd  0.6536  0.1535  0.5394  0.01
Ce  0.5500  0.5103  0.3896  0.55
Ce  0.4500  0.4897  0.6104  0.55
Ho  0.3996  0.1713  0.0296  -0.01
Ho  0.2588  0.1882  0.2942  0.01
Ho  0.7412  0.8118  0.7058  0.01
Ho  0.6004  0.8287  0.9704  -0.01
Ho  0.9596  0.8747  0.2061  0.01
Ho  0.0404  0.1253  0.7939  0.01



Record 7
Crystalline CeNdHo2 at its relaxed geometry, computed with PBE.

Summary:
The value obtained for the energy above the most stable polymorph in this dataset is 50 kJ/mol of formula units.

a b c (Å): 5.6802 5.6802 5.6802
angles (deg): 60.00 60.00 60.00
Last column: magnetic moment on the atom in μB.
Atoms (fractional coordinates):
Ce  0.5000  0.5000  0.5000  0.64
Nd  0.0000  0.0000  0.0000  0.00
Ho  0.2500  0.2500  0.2500  0.02
Ho  0.7500  0.7500  0.7500  0.02



Record 8
Crystalline CeNd12Ho2 at its relaxed geometry, computed with PBE.

a b c (Å): 6.6163 6.6163 25.1519
angles (deg): 90.00 90.00 90.00
Last column: magnetic moment on the atom in μB.
Atoms (fractional coordinates):
Nd  0.8322  0.3322  0.5628  0.00
Nd  0.5000  0.5000  0.7908  -0.03
Nd  0.7495  0.7505  0.1095  0.03
Nd  0.7505  0.2505  0.1095  0.03
Nd  0.2505  0.7505  0.8905  0.03
Nd  0.2495  0.7495  0.1095  0.03
Nd  0.2495  0.2505  0.8905  0.03
Nd  0.8322  0.6678  0.4372  0.00
Nd  0.0000  0.0000  0.6680  0.01
Nd  0.0000  0.0000  0.2092  -0.03
Nd  0.0000  0.0000  0.7908  -0.03
Nd  0.7505  0.7495  0.8905  0.03
Nd  0.7495  0.2495  0.8905  0.03
Nd  0.3322  0.1678  0.5628  0.00
Nd  0.1678  0.6678  0.5628  0.00
Nd  0.6678  0.8322  0.5628  0.00
Nd  0.0000  0.0000  0.3320  0.01
Nd  0.3322  0.8322  0.4372  0.00
Nd  0.2505  0.2495  0.1095  0.03
Nd  0.5000  0.5000  0.2092  -0.03
Nd  0.6678  0.1678  0.4372  0.00
Nd  0.5000  0.5000  0.3320  0.01
Nd  0.1678  0.3322  0.4372  0.00
Nd  0.5000  0.5000  0.6680  0.01
Ce  0.5000  0.0000  0.0000  1.06
Ce  0.0000  0.5000  0.0000  1.06
Ho  0.5000  0.0000  0.2507  -0.01
Ho  0.0000  0.5000  0.7493  -0.01
Ho  0.5000  0.0000  0.7493  -0.01
Ho  0.0000  0.5000  0.2507  -0.01



Record 9
Crystalline Ce4NdHo at its relaxed geometry, computed with PBE.

a b c (Å): 6.3438 6.3438 6.3438
angles (deg): 60.00 60.00 60.00
Last column: magnetic moment on the atom in μB.
Atoms (fractional coordinates):
Ce  0.1116  0.6295  0.6295  0.75
Ce  0.6295  0.1116  0.6295  0.75
Ce  0.6295  0.6295  0.1116  0.75
Ce  0.6295  0.6295  0.6295  0.75
Nd  0.2500  0.2500  0.2500  0.04
Ho  0.0000  0.0000  0.0000  0.14



Record 10
Crystalline CeNd2Ho7 at its relaxed geometry, computed with PBE.

a b c (Å): 3.4644 14.7786 14.7786
angles (deg): 154.50 90.00 90.00
Last column: magnetic moment on the atom in μB.
Atoms (fractional coordinates):
Ho  0.5000  0.6566  0.8520  0.00
Ho  0.0000  0.8144  0.1856  -0.03
Ho  0.5000  0.1480  0.3434  0.00
Ho  0.5000  0.8520  0.6566  0.00
Ho  0.5000  0.5000  0.5000  0.08
Ho  0.0000  0.1856  0.8144  -0.03
Ho  0.5000  0.3434  0.1480  0.00
Nd  0.5000  0.7061  0.2939  -0.02
Nd  0.5000  0.2939  0.7061  -0.02
Ce  0.0000  0.0000  0.0000  0.70



Record 11
Crystalline CeNd3Ho4 at its relaxed geometry, computed with PBE.

a b c (Å): 3.4208 6.0928 12.8083
angles (deg): 94.77 97.67 90.00
Last column: magnetic moment on the atom in μB.
Atoms (fractional coordinates):
Ho  0.2791  0.7627  0.5582  -0.01
Ho  0.8939  0.7754  0.7877  0.04
Ho  0.1061  0.2246  0.2123  0.04
Ho  0.7209  0.2373  0.4418  -0.01
Nd  0.1459  0.7412  0.2918  -0.02
Nd  0.8541  0.2588  0.7082  -0.02
Nd  0.0000  0.5000  0.0000  0.03
Ce  0.5000  0.0000  0.0000  0.66



Record 12
Crystalline CeNdHo2 at its relaxed geometry, computed with PBE.

Summary:
The value obtained for the energy above the most stable polymorph in this dataset is 15 kJ/mol of formula units.

a b c (Å): 4.9717 5.0579 5.0579
angles (deg): 90.00 90.00 90.00
Last column: magnetic moment on the atom in μB.
Atoms (fractional coordinates):
Nd  0.5000  0.0000  0.0000  -0.01
Ho  0.0000  0.5000  0.0000  0.01
Ho  0.0000  0.0000  0.5000  0.01
Ce  0.5000  0.5000  0.5000  0.56



Ordered E_tot results: -4.713; -4.840; -4.798; -4.651; -4.935; -4.715; -4.802; -4.447; -5.309; -4.570; -4.572; -4.891; unit eV per atom.